Below is a relaxed structure of ZrBiPt3, with properties calculated at the PBEsol level.

a b c (Å): 4.922 4.922 4.922
angles (deg): 90.00 90.00 90.00
Positions (direct):
Pt 0.000 0.000 0.500
Pt 0.500 0.000 0.000
Pt 0.000 0.500 0.000
Zr 0.500 0.500 0.500
Bi 0.000 0.000 0.000

## Properties
final energy = -29.5 eV/cell
space group = Pm-3m (221)
density of states at the Fermi level = 4.05 states/eV/f.u.
total moment = 0.35 μB/f.u.
energy of formation = 0.9596 eV per atom


Below is a relaxed structure of Pu4Bi3, with properties calculated at the PBEsol level.

a b c (Å): 8.047 8.047 8.047
angles (deg): 109.47 109.47 109.47
Positions (direct):
Bi 0.125 0.250 0.375
Bi 0.250 0.875 0.625
Bi 0.750 0.625 0.875
Bi 0.375 0.750 0.125
Bi 0.875 0.125 0.750
Bi 0.625 0.375 0.250
Pu 0.342 0.342 0.842
Pu 0.500 0.158 0.500
Pu 0.500 0.658 0.500
Pu 0.658 0.000 0.000
Pu 0.842 0.842 0.342
Pu 0.158 0.000 0.000
Pu 0.000 0.500 0.658
Pu 0.000 0.500 0.158

## Properties
final energy = -147.3 eV/cell
space group = I-43d (220)
density of states at the Fermi level = 30.36 states/eV/f.u.
total moment = 23.00 μB/f.u.
energy of formation = -0.0285 eV per atom


Below is a relaxed structure of Rb3Bi, with properties calculated at the PBEsol level.

a b c (Å): 6.289 6.289 6.289
angles (deg): 60.00 60.00 60.00
Positions (direct):
Rb 0.750 0.750 0.750
Rb 0.250 0.250 0.250
Rb 0.500 0.500 0.500
Bi 0.000 0.000 0.000

## Properties
final energy = -8.7 eV/cell
space group = Fm-3m (225)
density of states at the Fermi level = 4.27 states/eV/f.u.
total moment = 0.00 μB/f.u.
energy of formation = -0.3225 eV per atom


Below is a relaxed structure of Rb3Bi, with properties calculated at the PBEsol level.

a b c (Å): 6.382 6.382 11.312
angles (deg): 90.00 90.00 120.00
Positions (direct):
Bi 0.667 0.333 0.750
Bi 0.333 0.667 0.250
Rb 0.333 0.667 0.581
Rb 0.000 0.000 0.750
Rb 0.667 0.333 0.081
Rb 0.667 0.333 0.419
Rb 0.000 0.000 0.250
Rb 0.333 0.667 0.919

## Properties
final energy = -17.4 eV/cell
space group = P6_3/mmc (194)
density of states at the Fermi level = 3.85 states/eV/f.u.
total moment = 0.00 μB/f.u.
energy of formation = -0.3406 eV per atom


Below is a relaxed structure of RbRe3Bi, with properties calculated at the PBEsol level.

a b c (Å): 4.744 4.744 4.744
angles (deg): 90.00 90.00 90.00
Positions (direct):
Re 0.500 0.000 0.000
Re 0.000 0.000 0.500
Re 0.000 0.500 0.000
Bi 0.500 0.500 0.500
Rb 0.000 0.000 0.000

## Properties
final energy = -25.7 eV/cell
space group = Pm-3m (221)
density of states at the Fermi level = 7.45 states/eV/f.u.
total moment = 2.01 μB/f.u.
energy of formation = 3.9222 eV per atom


Below is a relaxed structure of RbBi2Rh2, with properties calculated at the PBEsol level.

a b c (Å): 4.208 4.208 8.094
angles (deg): 105.07 105.07 90.00
Positions (direct):
Bi 0.643 0.643 0.286
Bi 0.357 0.357 0.714
Rh 0.750 0.250 0.500
Rh 0.250 0.750 0.500
Rb 0.000 0.000 0.000

## Properties
final energy = -26.9 eV/cell
space group = I4/mmm (139)
density of states at the Fermi level = 1.94 states/eV/f.u.
total moment = 0.00 μB/f.u.
energy of formation = -0.2044 eV per atom